(1)
K2GaAg2 | PBE-GGA | optimized geometry

Cell: 7.185 7.185 5.590 Å, 90.00 90.00 90.00°
Space group P4/mbm (No. 127)
Symmetry-distinct sites (fractional):
K1 0.176 0.324 0.000 [4 per cell]
Ga1 0.000 0.000 0.500 [2 per cell]
Ag1 0.142 0.642 0.500 [4 per cell]

Calculated values
For the density, the calculation gives 4.18 g cm⁻³. As for the energy above the lowest structure with this stoichiometry: 0.0704 eV per atom. The energy of formation from the pure elements comes out at 1.50 kcal/mol of atoms. For the volume, the calculation gives 288.6 Å³/cell.



(2)
Cs3LaTl2O6 | PBE-GGA | optimized geometry

Cell: 6.8130 6.8130 8.0382 Å, 90.00 90.00 120.00°
Space group P-3m1 (No. 164)
Symmetry-distinct sites (fractional):
Cs1 0.0000 0.0000 0.0000 [1 per cell]
Cs2 0.3333 0.6667 0.7484 [2 per cell]
La1 0.0000 0.0000 0.5000 [1 per cell]
Tl1 0.3333 0.6667 0.2995 [2 per cell]
O1 0.1564 0.3127 0.3044 [6 per cell]

Calculated values
For the density, the calculation gives 5.36 g cm⁻³. For the volume, the calculation gives 323.1 Å³/cell. The energy relative to the elements, uncorrected comes out at -1.414 eV per atom.



(3)
GaBiTe3 | PBE-GGA | optimized geometry

Cell: 5.372 5.372 5.372 Å, 90.00 90.00 90.00°
Space group Pm-3m (No. 221)
Symmetry-distinct sites (fractional):
Ga1 0.000 0.000 0.000 [1 per cell]
Bi1 0.500 0.500 0.500 [1 per cell]
Te1 0.000 0.000 0.500 [3 per cell]

Calculated values
For the density, the calculation gives 7.08 g cm⁻³. As for the energy above the lowest structure with this stoichiometry: 0.4923 eV per atom. For the volume, the calculation gives 155.1 Å³/cell. The energy relative to the elements, uncorrected comes out at 0.285 eV per atom.



(4)
ScIBr3 | PBE-GGA | optimized geometry

Cell: 6.5272 6.5272 34.0206 Å, 90.00 90.00 120.00°
Space group R-3 (No. 148, hexagonal axes)
Symmetry-distinct sites (fractional):
Sc1 0.0000 0.0000 0.1667 [6 per cell]
I1 0.0000 0.0000 0.3334 [6 per cell]
Br1 0.9997 0.3473 0.4538 [18 per cell]

Calculated values
For the density, the calculation gives 3.27 g cm⁻³. As for the energy above the lowest structure with this stoichiometry: 0.1147 eV per atom. For the volume, the calculation gives 1255.2 Å³/cell. The energy relative to the elements, uncorrected comes out at -1.223 eV per atom.



(5)
Sc2S2N | PBE-GGA | optimized geometry

Cell: 3.411 3.411 13.135 Å, 90.00 90.00 90.00°
Space group I4/mmm (No. 139)
Symmetry-distinct sites (fractional):
Sc1 0.000 0.000 0.100 [4 per cell]
S1 0.000 0.500 0.250 [4 per cell]
N1 0.000 0.000 0.500 [2 per cell]

Calculated values
For the density, the calculation gives 3.65 g cm⁻³. As for the energy above the lowest structure with this stoichiometry: 0.7131 eV per atom. For the volume, the calculation gives 152.8 Å³/cell. The energy relative to the elements, uncorrected comes out at -0.380 eV per atom.



(6)
Pm4Pr3Dy5 | PBE-GGA | optimized geometry

Cell: 16.208 6.013 9.404 Å, 90.00 116.06 90.00°
Space group C2/m (No. 12)
Symmetry-distinct sites (fractional):
Pm1 0.083 0.000 0.444 [4 per cell]
Pm2 0.209 0.000 0.879 [4 per cell]
Pr1 0.000 0.500 0.000 [2 per cell]
Pr2 0.209 0.000 0.231 [4 per cell]
Dy1 0.000 0.000 0.000 [2 per cell]
Dy2 0.072 0.500 0.697 [4 per cell]
Dy3 0.172 0.500 0.388 [4 per cell]

Calculated values
For the density, the calculation gives 7.32 g cm⁻³. As for the energy above the lowest structure with this stoichiometry: 0.2020 eV per atom. The energy of formation from the pure elements comes out at 5.01 kcal/mol of atoms. For the volume, the calculation gives 823.4 Å³/cell.



(7)
CeMgSc2 | PBE-GGA | optimized geometry

Cell: 4.702 4.702 4.661 Å, 90.00 90.00 90.00°
Space group P4/mmm (No. 123)
Symmetry-distinct sites (fractional):
Ce1 0.000 0.000 0.000 [1 per cell]
Mg1 0.500 0.500 0.000 [1 per cell]
Sc1 0.000 0.500 0.500 [2 per cell]

Calculated values
For the density, the calculation gives 4.10 g cm⁻³. As for the energy above the lowest structure with this stoichiometry: 0.0824 eV per atom. The energy of formation from the pure elements comes out at 2.34 kcal/mol of atoms. For the volume, the calculation gives 103.1 Å³/cell.



(8)
YMg2IrPb | PBE-GGA | optimized geometry

Cell: 5.263 5.263 5.270 Å, 90.00 90.00 90.00°
Space group P4/mmm (No. 123)
Symmetry-distinct sites (fractional):
Y1 0.000 0.000 0.000 [1 per cell]
Mg1 0.000 0.500 0.500 [2 per cell]
Ir1 0.500 0.500 0.000 [1 per cell]
Pb1 0.500 0.500 0.500 [1 per cell]

Calculated values
For the density, the calculation gives 6.11 g cm⁻³. As for the energy above the lowest structure with this stoichiometry: 0.0000 eV per atom. The energy of formation from the pure elements comes out at 14.63 kcal/mol of atoms. For the volume, the calculation gives 145.9 Å³/cell.



What did the sixth record say?
Pm4Pr3Dy5 | PBE-GGA | optimized geometry

Cell: 16.208 6.013 9.404 Å, 90.00 116.06 90.00°
Space group C2/m (No. 12)
Symmetry-distinct sites (fractional):
Pm1 0.083 0.000 0.444 [4 per cell]
Pm2 0.209 0.000 0.879 [4 per cell]
Pr1 0.000 0.500 0.000 [2 per cell]
Pr2 0.209 0.000 0.231 [4 per cell]
Dy1 0.000 0.000 0.000 [2 per cell]
Dy2 0.072 0.500 0.697 [4 per cell]
Dy3 0.172 0.500 0.388 [4 per cell]

Calculated values
For the density, the calculation gives 7.32 g cm⁻³. As for the energy above the lowest structure with this stoichiometry: 0.2020 eV per atom. The energy of formation from the pure elements comes out at 5.01 kcal/mol of atoms. For the volume, the calculation gives 823.4 Å³/cell.